# K2ZrMo PBE relaxed
# Final energy (eV per cell): -14.453
# Energy above the most stable polymorph in this dataset (eV/atom): 1.082
# Total magnetic moment (μB per cell): 1.9
# Energy of formation from the pure elements (eV/f.u.): 7.121
data_K2ZrMo
_chemical_formula_sum 'K2 Zr1 Mo1'
_symmetry_space_group_name_H-M 'P 4/m m m'
_symmetry_Int_Tables_number 123
_symmetry_space_group_name_Hall '-P 4 2'
_cell_length_a 6.790
_cell_length_b 6.790
_cell_length_c 2.803
_cell_angle_alpha 90.00
_cell_angle_beta 90.00
_cell_angle_gamma 90.00
loop_
_atom_site_label
_atom_site_type_symbol
_atom_site_fract_x
_atom_site_fract_y
_atom_site_fract_z
K1 K 0.000 0.500 0.000
Zr1 Zr 0.000 0.000 0.500
Mo1 Mo 0.500 0.500 0.500


# Ca11Hg9Rh4 PBE relaxed
# Final energy (eV per cell): -131.239
# Total magnetic moment (μB per cell): 0.0
# Energy of formation from the pure elements (eV/f.u.): -11.480
data_Ca11Hg9Rh4
_chemical_formula_sum 'Ca22 Hg18 Rh8'
_symmetry_space_group_name_H-M 'C m m m'
_symmetry_Int_Tables_number 65
_symmetry_space_group_name_Hall '-C 2 2'
_cell_length_a 14.231
_cell_length_b 21.287
_cell_length_c 3.981
_cell_angle_alpha 90.00
_cell_angle_beta 90.00
_cell_angle_gamma 90.00
loop_
_atom_site_label
_atom_site_type_symbol
_atom_site_fract_x
_atom_site_fract_y
_atom_site_fract_z
Ca1 Ca 0.000 0.000 0.000
Ca2 Ca 0.000 0.169 0.000
Ca3 Ca 0.000 0.371 0.000
Ca4 Ca 0.196 0.500 0.000
Ca5 Ca 0.250 0.166 0.000
Hg1 Hg 0.000 0.500 0.500
Hg2 Hg 0.110 0.266 0.500
Hg3 Hg 0.147 0.076 0.500
Rh1 Rh 0.146 0.404 0.500


# RbCaBr PBE relaxed
# Uncorrected formation energy (eV/atom): -0.906
# Final energy (eV per cell): -14.718
# Energy above the most stable polymorph in this dataset (eV/atom): 0.015
# Total magnetic moment (μB per cell): 0.0
data_RbCaBr
_chemical_formula_sum 'Rb2 Ca2 Br2'
_symmetry_space_group_name_H-M 'P -1'
_symmetry_Int_Tables_number 2
_symmetry_space_group_name_Hall '-P 1'
_cell_length_a 4.245
_cell_length_b 7.545
_cell_length_c 8.354
_cell_angle_alpha 91.82
_cell_angle_beta 90.09
_cell_angle_gamma 90.01
loop_
_atom_site_label
_atom_site_type_symbol
_atom_site_fract_x
_atom_site_fract_y
_atom_site_fract_z
Rb1 Rb 0.249 0.264 0.090
Ca1 Ca 0.250 0.708 0.442
Br1 Br 0.251 0.028 0.694


# Na16CdGa12 PBE relaxed
# Final energy (eV per cell): -120.862
# Total magnetic moment (μB per cell): 0.0
# Energy of formation from the pure elements (eV/f.u.): -2.089
data_Na16CdGa12
_chemical_formula_sum 'Na32 Cd2 Ga24'
_symmetry_space_group_name_H-M 'C 1 m 1'
_symmetry_Int_Tables_number 8
_symmetry_space_group_name_Hall 'C -2y'
_cell_length_a 11.090
_cell_length_b 15.778
_cell_length_c 9.493
_cell_angle_alpha 90.00
_cell_angle_beta 124.87
_cell_angle_gamma 90.00
loop_
_atom_site_label
_atom_site_type_symbol
_atom_site_fract_x
_atom_site_fract_y
_atom_site_fract_z
Na1 Na 0.000 0.000 0.000
Na2 Na 0.001 0.000 0.647
Na3 Na 0.015 0.303 0.309
Na4 Na 0.048 0.369 0.010
Na5 Na 0.204 0.203 0.689
Na6 Na 0.310 0.000 0.715
Na7 Na 0.322 0.324 0.003
Na8 Na 0.346 0.340 0.409
Na9 Na 0.358 0.000 0.347
Na10 Na 0.437 0.155 0.595
Cd1 Cd 0.137 0.500 0.325
Ga1 Ga 0.000 0.181 0.825
Ga2 Ga 0.088 0.089 0.355
Ga3 Ga 0.144 0.500 0.817
Ga4 Ga 0.172 0.177 0.172
Ga5 Ga 0.236 0.409 0.648
Ga6 Ga 0.268 0.087 0.999
Ga7 Ga 0.324 0.500 0.183


# NpTeBr3 PBE relaxed
# Uncorrected formation energy (eV/atom): -0.975
# Final energy (eV per cell): -103.910
# Total magnetic moment (μB per cell): 11.9
data_NpTeBr3
_chemical_formula_sum 'Np4 Te4 Br12'
_symmetry_space_group_name_H-M 'C 1 2/m 1'
_symmetry_Int_Tables_number 12
_symmetry_space_group_name_Hall '-C 2y'
_cell_length_a 11.740
_cell_length_b 8.951
_cell_length_c 7.938
_cell_angle_alpha 90.00
_cell_angle_beta 125.72
_cell_angle_gamma 90.00
loop_
_atom_site_label
_atom_site_type_symbol
_atom_site_fract_x
_atom_site_fract_y
_atom_site_fract_z
Np1 Np 0.226 0.000 0.093
Te1 Te 0.059 0.500 0.396
Br1 Br 0.057 0.000 0.262
Br2 Br 0.224 0.313 0.175


# RbIrO2 PBE relaxed
# Uncorrected formation energy (eV/atom): 0.648
# Final energy (eV per cell): -68.611
# Total magnetic moment (μB per cell): 0.0
data_RbIrO2
_chemical_formula_sum 'Rb4 Ir4 O8'
_symmetry_space_group_name_H-M 'F m -3 m'
_symmetry_Int_Tables_number 225
_symmetry_space_group_name_Hall '-F 4 2 3'
_cell_length_a 6.019
_cell_length_b 6.019
_cell_length_c 6.019
_cell_angle_alpha 90.00
_cell_angle_beta 90.00
_cell_angle_gamma 90.00
loop_
_atom_site_label
_atom_site_type_symbol
_atom_site_fract_x
_atom_site_fract_y
_atom_site_fract_z
Rb1 Rb 0.000 0.000 0.000
Ir1 Ir 0.000 0.000 0.500
O1 O 0.250 0.250 0.250


# Tb7Ho3Th2 PBE relaxed
# Final energy (eV per cell): -59.493
# Energy above the most stable polymorph in this dataset (eV/atom): 0.092
# Total magnetic moment (μB per cell): 0.0
# Energy of formation from the pure elements (eV/f.u.): 1.491
data_Tb7Ho3Th2
_chemical_formula_sum 'Tb7 Ho3 Th2'
_symmetry_space_group_name_H-M 'P 1 2/m 1'
_symmetry_Int_Tables_number 10
_symmetry_space_group_name_Hall '-P 2y'
_cell_length_a 5.785
_cell_length_b 3.570
_cell_length_c 18.866
_cell_angle_alpha 90.00
_cell_angle_beta 93.56
_cell_angle_gamma 90.00
loop_
_atom_site_label
_atom_site_type_symbol
_atom_site_fract_x
_atom_site_fract_y
_atom_site_fract_z
Tb1 Tb 0.000 0.000 0.000
Tb2 Tb 0.185 0.500 0.177
Tb3 Tb 0.258 0.500 0.539
Tb4 Tb 0.317 0.000 0.858
Ho1 Ho 0.224 0.000 0.370
Ho2 Ho 0.500 0.500 0.000
Th1 Th 0.290 0.500 0.707


# FeAgRh3 PBE relaxed
# Final energy (eV per cell): -28.396
# Energy above the most stable polymorph in this dataset (eV/atom): 0.000
# Total magnetic moment (μB per cell): 0.0
# Energy of formation from the pure elements (eV/f.u.): 4.973
data_FeAgRh3
_chemical_formula_sum 'Fe1 Ag1 Rh3'
_symmetry_space_group_name_H-M 'P m -3 m'
_symmetry_Int_Tables_number 221
_symmetry_space_group_name_Hall '-P 4 2 3'
_cell_length_a 4.437
_cell_length_b 4.437
_cell_length_c 4.437
_cell_angle_alpha 90.00
_cell_angle_beta 90.00
_cell_angle_gamma 90.00
loop_
_atom_site_label
_atom_site_type_symbol
_atom_site_fract_x
_atom_site_fract_y
_atom_site_fract_z
Fe1 Fe 0.000 0.000 0.000
Ag1 Ag 0.500 0.500 0.500
Rh1 Rh 0.000 0.000 0.500


# PmIn3Au3 PBE relaxed
# Final energy (eV per cell): -152.935
# Energy above the most stable polymorph in this dataset (eV/atom): 0.024
# Total magnetic moment (μB per cell): 0.0
# Energy of formation from the pure elements (eV/f.u.): -2.691
data_PmIn3Au3
_chemical_formula_sum 'Pm6 In18 Au18'
_symmetry_space_group_name_H-M 'R -3'
_symmetry_Int_Tables_number 148
_symmetry_space_group_name_Hall '-R 3'
_cell_length_a 8.5673
_cell_length_b 8.5673
_cell_length_c 17.3177
_cell_angle_alpha 90.00
_cell_angle_beta 90.00
_cell_angle_gamma 120.00
loop_
_atom_site_label
_atom_site_type_symbol
_atom_site_fract_x
_atom_site_fract_y
_atom_site_fract_z
Pm1 Pm 0.0000 0.0000 0.1650
In1 In 0.0017 0.3029 0.5979
Au1 Au 0.0009 0.3515 0.4241


# Pr4Se4S PBE relaxed
# Uncorrected formation energy (eV/atom): -1.613
# Final energy (eV per cell): -103.398
# Total magnetic moment (μB per cell): 0.0
data_Pr4Se4S
_chemical_formula_sum 'Pr8 Se8 S2'
_symmetry_space_group_name_H-M 'I -4 2 m'
_symmetry_Int_Tables_number 121
_symmetry_space_group_name_Hall 'I -4 2'
_cell_length_a 7.055
_cell_length_b 7.055
_cell_length_c 12.606
_cell_angle_alpha 90.00
_cell_angle_beta 90.00
_cell_angle_gamma 90.00
loop_
_atom_site_label
_atom_site_type_symbol
_atom_site_fract_x
_atom_site_fract_y
_atom_site_fract_z
Pr1 Pr 0.219 0.219 0.131
Se1 Se 0.000 0.000 0.289
Se2 Se 0.000 0.500 0.000
S1 S 0.000 0.000 0.000


# LiAgSbPd PBE relaxed
# Uncorrected formation energy (eV/atom): -0.382
# Final energy (eV per cell): -31.215
# Energy above the most stable polymorph in this dataset (eV/atom): 0.016
# Total magnetic moment (μB per cell): 0.0
data_LiAgSbPd
_chemical_formula_sum 'Li2 Ag2 Sb2 Pd2'
_symmetry_space_group_name_H-M 'I -4 m 2'
_symmetry_Int_Tables_number 119
_symmetry_space_group_name_Hall 'I -4 -2'
_cell_length_a 4.197
_cell_length_b 4.197
_cell_length_c 7.894
_cell_angle_alpha 90.00
_cell_angle_beta 90.00
_cell_angle_gamma 90.00
loop_
_atom_site_label
_atom_site_type_symbol
_atom_site_fract_x
_atom_site_fract_y
_atom_site_fract_z
Li1 Li 0.000 0.000 0.000
Ag1 Ag 0.000 0.500 0.250
Sb1 Sb 0.000 0.500 0.750
Pd1 Pd 0.000 0.000 0.500


# ScCo2Pt PBE relaxed
# Final energy (eV per cell): -79.846
# Total magnetic moment (μB per cell): 10.0
# Energy of formation from the pure elements (eV/f.u.): -0.031
data_ScCo2Pt
_chemical_formula_sum 'Sc3 Co6 Pt3'
_symmetry_space_group_name_H-M 'R 3 m'
_symmetry_Int_Tables_number 160
_symmetry_space_group_name_Hall 'R 3 -2"'
_cell_length_a 2.8624
_cell_length_b 2.8624
_cell_length_c 24.9141
_cell_angle_alpha 90.00
_cell_angle_beta 90.00
_cell_angle_gamma 120.00
loop_
_atom_site_label
_atom_site_type_symbol
_atom_site_fract_x
_atom_site_fract_y
_atom_site_fract_z
Sc1 Sc 0.0000 0.0000 0.0000
Co1 Co 0.0000 0.0000 0.2479
Co2 Co 0.0000 0.0000 0.5113
Pt1 Pt 0.0000 0.0000 0.7576